First-principles (PBE) data for a relaxed LiDy2Mg4 crystal, as listed in the Alexandria database.

Unit cell a=5.386 b=21.975 c=3.106 alpha=90.00 beta=90.00 gamma=90.00
Atoms (fractional coordinates):
1 Li 0.000 0.000 0.000
2 Li 0.500 0.500 0.000
3 Dy 0.000 0.292 0.500
4 Dy 0.000 0.708 0.500
5 Dy 0.500 0.208 0.500
6 Dy 0.500 0.792 0.500
7 Mg 0.000 0.129 0.500
8 Mg 0.000 0.428 0.000
9 Mg 0.000 0.572 0.000
10 Mg 0.000 0.871 0.500
11 Mg 0.500 0.072 0.000
12 Mg 0.500 0.371 0.500
13 Mg 0.500 0.629 0.500
14 Mg 0.500 0.928 0.000

Computed properties:
Crystal system: orthorhombic
Magnetization (Bohr magnetons per cell): 0.00
ΔH_f (0 K) (eV per atom): 0.185

First-principles (PBE) data for a relaxed KTc2AgP crystal, as listed in the Alexandria database.

Unit cell a=5.264 b=5.264 c=4.724 alpha=90.00 beta=90.00 gamma=90.00
Atoms (fractional coordinates):
1 K 0.000 0.000 0.000
2 Tc 0.000 0.500 0.500
3 Tc 0.500 0.000 0.500
4 Ag 0.500 0.500 0.500
5 P 0.500 0.500 0.000

Computed properties:
Crystal system: tetragonal
Magnetization (Bohr magnetons per cell): 7.41
ΔH_f (0 K) (eV per atom): 1.722

First-principles (PBE) data for a relaxed KNaO3 crystal, as listed in the Alexandria database.

Unit cell a=4.266 b=4.266 c=4.266 alpha=90.00 beta=90.00 gamma=90.00
Atoms (fractional coordinates):
1 K 0.000 0.000 0.000
2 Na 0.500 0.500 0.500
3 O 0.000 0.500 0.500
4 O 0.500 0.000 0.500
5 O 0.500 0.500 0.000

Computed properties:
Crystal system: cubic
DFT total energy (eV per formula unit): -17.60
Magnetization (Bohr magnetons per cell): 4.00

First-principles (PBE) data for a relaxed HoPa3Sn12 crystal, as listed in the Alexandria database.

Unit cell a=4.677 b=4.677 c=18.484 alpha=90.00 beta=90.00 gamma=90.00
Atoms (fractional coordinates):
1 Ho 0.000 0.000 0.000
2 Pa 0.000 0.000 0.253
3 Pa 0.000 0.000 0.500
4 Pa 0.000 0.000 0.747
5 Sn 0.000 0.500 0.126
6 Sn 0.000 0.500 0.376
7 Sn 0.000 0.500 0.624
8 Sn 0.000 0.500 0.874
9 Sn 0.500 0.000 0.126
10 Sn 0.500 0.000 0.376
11 Sn 0.500 0.000 0.624
12 Sn 0.500 0.000 0.874
13 Sn 0.500 0.500 0.000
14 Sn 0.500 0.500 0.251
15 Sn 0.500 0.500 0.500
16 Sn 0.500 0.500 0.749

Computed properties:
Crystal system: tetragonal
Magnetization (Bohr magnetons per cell): 0.00
ΔH_f (0 K) (eV per atom): -0.325